Below is a relaxed NaDy2OsO8 crystal, with properties calculated at the PBE level.

## Properties
ΔE_f (raw): -1934.8 meV/atom
Total magnetic moment: 0.00 μB per cell
SG: P-1

a b c (Å): 4.926 4.518 7.259
angles (deg): 83.58 89.23 92.65
Fractional coordinates of all 12 atoms:
Os1 0.000 0.000 0.000
Dy1 0.518 0.555 0.242
Dy2 0.482 0.445 0.758
O1 0.692 0.753 0.955
O2 0.799 0.191 0.161
O3 0.530 0.765 0.504
O4 0.917 0.276 0.793
O5 0.083 0.724 0.207
O6 0.308 0.247 0.045
O7 0.201 0.809 0.839
O8 0.470 0.235 0.496
Na1 0.000 0.000 0.500